Below is AgHgSCl2 at its PBEsol-relaxed geometry, with properties calculated at the SCAN level.

abc: 4.757 4.757 5.026
angles: 90.00 90.00 90.00
Fractional coordinates of all 5 atoms:
S1 0.000 0.000 0.500
Hg1 0.500 0.500 0.500
Ag1 0.000 0.000 0.000
Cl1 0.000 0.500 0.000
Cl2 0.500 0.000 0.000

Formation energy from raw total energies (meV/atom): 103
Symmetry: P4/mmm, No. 123

---

Below is Ag3ICl at its PBEsol-relaxed geometry, with properties calculated at the SCAN level.

abc: 4.999 4.999 4.999
angles: 90.00 90.00 90.00
Fractional coordinates of all 5 atoms:
I1 0.500 0.500 0.500
Ag1 0.000 0.500 0.000
Ag2 0.000 0.000 0.500
Ag3 0.500 0.000 0.000
Cl1 0.000 0.000 0.000

Formation energy from raw total energies (meV/atom): 249
Symmetry: Pm-3m, No. 221

---

Below is Ag2I2Cl at its PBEsol-relaxed geometry, with properties calculated at the SCAN level.

abc: 4.177 4.177 8.097
angles: 104.95 104.95 90.00
Fractional coordinates of all 5 atoms:
I1 0.376 0.376 0.751
I2 0.624 0.624 0.249
Ag1 0.250 0.750 0.500
Ag2 0.750 0.250 0.500
Cl1 0.000 0.000 0.000

Formation energy from raw total energies (meV/atom): -63
Symmetry: I4/mmm, No. 139

---

Below is AgPICl2 at its PBEsol-relaxed geometry, with properties calculated at the SCAN level.

abc: 5.120 5.338 5.338
angles: 90.00 90.00 90.00
Fractional coordinates of all 5 atoms:
I1 0.000 0.000 0.000
P1 0.500 0.000 0.000
Ag1 0.500 0.500 0.500
Cl1 0.000 0.000 0.500
Cl2 0.000 0.500 0.000

Formation energy from raw total energies (meV/atom): 772
Symmetry: P4/mmm, No. 123